(1)
A plane-wave DFT calculation with PBE was carried out for a relaxed LaMgIn crystal.

## Properties
* mass density: 5.39 g cm⁻³
* ΔE_f: -348 meV/atom

Unit cell a=11.6340 b=5.0973 c=7.6080 alpha=90.00 beta=130.60 gamma=90.00
With the nearest neighbours (Å) after each atom.
Space group C2/m (No. 12)
Unique sites:
La 0.0132 0.0000 0.2643 [4 per cell]  6 Mg 3.44-3.61, 6 In 3.49-3.53, 2 La 3.79-3.83
Mg 0.1698 0.5000 0.7022 [4 per cell]  2 In 2.93, 1 Mg 3.04
In 0.1658 0.5000 0.1479 [4 per cell]  2 Mg 2.93, 1 In 2.94

***

(2)
A plane-wave DFT calculation with PBE was carried out for a relaxed La2MgIn crystal.

## Properties
* mass density: 5.39 g cm⁻³
* ΔE_f: 225 meV/atom

Unit cell a=3.3323 b=5.7334 c=13.4515 alpha=90.00 beta=90.00 gamma=90.00
With the nearest neighbours (Å) after each atom.
Space group Immm (No. 71)
Unique sites:
La 0.0000 0.0000 0.2476 [4 per cell]  6 La 3.32-3.33, 1 In 3.33, 1 Mg 3.40
Mg 0.0000 0.0000 0.5000 [2 per cell]  4 In 3.32, 2 Mg 3.33, 2 La 3.40
In 0.0000 0.0000 0.0000 [2 per cell]  4 Mg 3.32, 2 La 3.33, 2 In 3.33